[1]
A relaxed TmIn5Rh6 crystal. Source: Alexandria, functional PBE.

Summary:
volume = 413.67 Å³ per cell

The structure in CIF format:
```
data_TmIn5Rh6
_chemical_formula_sum 'Tm2 In10 Rh12'
_space_group_name_H-M_alt 'C m m m'
_space_group_IT_number 65
_space_group_name_Hall '-C 2 2'
_cell_length_a 4.535
_cell_length_b 13.598
_cell_length_c 6.708
_cell_angle_alpha 90.00
_cell_angle_beta 90.00
_cell_angle_gamma 90.00
loop_
_atom_site_label
_atom_site_type_symbol
_atom_site_fract_x
_atom_site_fract_y
_atom_site_fract_z
Tm1 Tm 0.000 0.000 0.000
In1 In 0.000 0.000 0.500
In2 In 0.000 0.334 0.500
In3 In 0.000 0.335 0.000
Rh1 Rh 0.000 0.169 0.253
Rh2 Rh 0.000 0.500 0.258
```

=====

[2]
A relaxed Tm4InRh5 crystal. Source: Alexandria, functional PBE.

Summary:
volume = 187.60 Å³ per cell

The structure in CIF format:
```
data_Tm4InRh5
_chemical_formula_sum 'Tm4 In1 Rh5'
_space_group_name_H-M_alt 'P 4/m m m'
_space_group_IT_number 123
_space_group_name_Hall '-P 4 2'
_cell_length_a 3.385
_cell_length_b 3.385
_cell_length_c 16.374
_cell_angle_alpha 90.00
_cell_angle_beta 90.00
_cell_angle_gamma 90.00
loop_
_atom_site_label
_atom_site_type_symbol
_atom_site_fract_x
_atom_site_fract_y
_atom_site_fract_z
Tm1 Tm 0.000 0.000 0.102
Tm2 Tm 0.000 0.000 0.306
In1 In 0.000 0.000 0.500
Rh1 Rh 0.500 0.500 0.000
Rh2 Rh 0.500 0.500 0.203
Rh3 Rh 0.500 0.500 0.406
```

=====

[3]
A relaxed Tm4InRh7 crystal. Source: Alexandria, functional PBE.

Summary:
volume = 467.18 Å³ per cell

The structure in CIF format:
```
data_Tm4InRh7
_chemical_formula_sum 'Tm8 In2 Rh14'
_space_group_name_H-M_alt 'C 1 2/m 1'
_space_group_IT_number 12
_cell_length_a 11.069
_cell_length_b 4.989
_cell_length_c 9.832
_cell_angle_alpha 90.00
_cell_angle_beta 120.64
_cell_angle_gamma 90.00
loop_
_space_group_symop_operation_xyz
'x,y,z'
'-x,-y,-z'
'-x,y,-z'
'x,-y,z'
'x+1/2,y+1/2,z'
'-x+1/2,-y+1/2,-z'
'-x+1/2,y+1/2,-z'
'x+1/2,-y+1/2,z'
loop_
_atom_site_label
_atom_site_type_symbol
_atom_site_fract_x
_atom_site_fract_y
_atom_site_fract_z
Tm1 Tm 0.093 0.000 0.281
Tm2 Tm 0.242 0.500 0.162
In1 In 0.000 0.500 0.500
Rh1 Rh 0.000 0.000 0.500
Rh2 Rh 0.080 0.500 0.813
Rh3 Rh 0.127 0.000 0.013
Rh4 Rh 0.205 0.500 0.413
```

=====

[4]
A relaxed Tm3In3Rh2 crystal. Source: Alexandria, functional PBE.

Summary:
volume = 369.53 Å³ per cell

The structure in CIF format:
```
data_Tm3In3Rh2
_chemical_formula_sum 'Tm6 In6 Rh4'
_space_group_name_H-M_alt 'C 1 2/m 1'
_space_group_IT_number 12
_cell_length_a 15.920
_cell_length_b 4.687
_cell_length_c 5.063
_cell_angle_alpha 90.00
_cell_angle_beta 101.99
_cell_angle_gamma 90.00
loop_
_space_group_symop_operation_xyz
'x,y,z'
'-x,-y,-z'
'-x,y,-z'
'x,-y,z'
'x+1/2,y+1/2,z'
'-x+1/2,-y+1/2,-z'
'-x+1/2,y+1/2,-z'
'x+1/2,-y+1/2,z'
loop_
_atom_site_label
_atom_site_type_symbol
_atom_site_fract_x
_atom_site_fract_y
_atom_site_fract_z
Tm1 Tm 0.000 0.000 0.000
Tm2 Tm 0.168 0.000 0.598
In1 In 0.000 0.500 0.500
In2 In 0.132 0.500 0.083
Rh1 Rh 0.217 0.000 0.130
```

=====

[5]
A relaxed Tm5InRh2 crystal. Source: Alexandria, functional PBE.

Summary:
volume = 785.26 Å³ per cell

The structure in CIF format:
```
data_Tm5InRh2
_chemical_formula_sum 'Tm20 In4 Rh8'
_space_group_name_H-M_alt 'I 4/m c m'
_space_group_IT_number 140
_space_group_name_Hall '-I 4 2c'
_cell_length_a 7.664
_cell_length_b 7.664
_cell_length_c 13.371
_cell_angle_alpha 90.00
_cell_angle_beta 90.00
_cell_angle_gamma 90.00
loop_
_atom_site_label
_atom_site_type_symbol
_atom_site_fract_x
_atom_site_fract_y
_atom_site_fract_z
Tm1 Tm 0.000 0.000 0.000
Tm2 Tm 0.159 0.341 0.135
In1 In 0.000 0.000 0.250
Rh1 Rh 0.140 0.360 0.500
```

=====

[6]
A relaxed Tm8InRh2 crystal. Source: Alexandria, functional PBE.

Summary:
volume = 586.62 Å³ per cell

The structure in CIF format:
```
data_Tm8InRh2
_chemical_formula_sum 'Tm16 In2 Rh4'
_space_group_name_H-M_alt 'C 1 2/m 1'
_space_group_IT_number 12
_cell_length_a 8.618
_cell_length_b 13.115
_cell_length_c 5.357
_cell_angle_alpha 90.00
_cell_angle_beta 104.34
_cell_angle_gamma 90.00
loop_
_space_group_symop_operation_xyz
'x,y,z'
'-x,-y,-z'
'-x,y,-z'
'x,-y,z'
'x+1/2,y+1/2,z'
'-x+1/2,-y+1/2,-z'
'-x+1/2,y+1/2,-z'
'x+1/2,-y+1/2,z'
loop_
_atom_site_label
_atom_site_type_symbol
_atom_site_fract_x
_atom_site_fract_y
_atom_site_fract_z
Tm1 Tm 0.000 0.246 0.000
Tm2 Tm 0.113 0.500 0.805
Tm3 Tm 0.201 0.129 0.577
In1 In 0.000 0.000 0.000
Rh1 Rh 0.000 0.308 0.500
```

=====

[7]
A relaxed TmInRh crystal. Source: Alexandria, functional PBE.

Summary:
volume = 124.12 Å³ per cell

The structure in CIF format:
```
data_TmInRh
_chemical_formula_sum 'Tm2 In2 Rh2'
_space_group_name_H-M_alt 'I 4 m m'
_space_group_IT_number 107
_space_group_name_Hall 'I 4 -2'
_cell_length_a 3.414
_cell_length_b 3.414
_cell_length_c 10.649
_cell_angle_alpha 90.00
_cell_angle_beta 90.00
_cell_angle_gamma 90.00
loop_
_atom_site_label
_atom_site_type_symbol
_atom_site_fract_x
_atom_site_fract_y
_atom_site_fract_z
Tm1 Tm 0.000 0.000 0.000
In1 In 0.000 0.000 0.707
Rh1 Rh 0.000 0.000 0.350
```

=====

[8]
A relaxed Tm3In4Rh4 crystal. Source: Alexandria, functional PBE.

Summary:
volume = 457.91 Å³ per cell

The structure in CIF format:
```
data_Tm3In4Rh4
_chemical_formula_sum 'Tm6 In8 Rh8'
_space_group_name_H-M_alt 'I m m m'
_space_group_IT_number 71
_space_group_name_Hall '-I 2 2'
_cell_length_a 3.639
_cell_length_b 8.068
_cell_length_c 15.596
_cell_angle_alpha 90.00
_cell_angle_beta 90.00
_cell_angle_gamma 90.00
loop_
_atom_site_label
_atom_site_type_symbol
_atom_site_fract_x
_atom_site_fract_y
_atom_site_fract_z
Tm1 Tm 0.000 0.000 0.000
Tm2 Tm 0.000 0.500 0.106
In1 In 0.000 0.309 0.334
Rh1 Rh 0.000 0.000 0.251
Rh2 Rh 0.000 0.205 0.500
```

=====

[9]
A relaxed TmIn5Rh crystal. Source: Alexandria, functional PBE.

Summary:
volume = 161.34 Å³ per cell

The structure in CIF format:
```
data_TmIn5Rh
_chemical_formula_sum 'Tm1 In5 Rh1'
_space_group_name_H-M_alt 'P 4/m m m'
_space_group_IT_number 123
_space_group_name_Hall '-P 4 2'
_cell_length_a 4.662
_cell_length_b 4.662
_cell_length_c 7.424
_cell_angle_alpha 90.00
_cell_angle_beta 90.00
_cell_angle_gamma 90.00
loop_
_atom_site_label
_atom_site_type_symbol
_atom_site_fract_x
_atom_site_fract_y
_atom_site_fract_z
Tm1 Tm 0.000 0.000 0.000
In1 In 0.000 0.500 0.298
In2 In 0.500 0.500 0.000
Rh1 Rh 0.000 0.000 0.500
```

=====

[10]
A relaxed Tm2InRh crystal. Source: Alexandria, functional PBE.

Summary:
polymorph energy (0 for the lowest one) = 0 meV/atom
volume = 90.19 Å³ per cell

The structure in CIF format:
```
data_Tm2InRh
_chemical_formula_sum 'Tm2 In1 Rh1'
_space_group_name_H-M_alt 'P 4/m m m'
_space_group_IT_number 123
_space_group_name_Hall '-P 4 2'
_cell_length_a 3.485
_cell_length_b 3.485
_cell_length_c 7.424
_cell_angle_alpha 90.00
_cell_angle_beta 90.00
_cell_angle_gamma 90.00
loop_
_atom_site_label
_atom_site_type_symbol
_atom_site_fract_x
_atom_site_fract_y
_atom_site_fract_z
Tm1 Tm 0.000 0.000 0.217
In1 In 0.500 0.500 0.500
Rh1 Rh 0.500 0.500 0.000
```

=====

[11]
A relaxed Tm2InRh crystal. Source: Alexandria, functional PBE.

Summary:
polymorph energy (0 for the lowest one) = 122 meV/atom
volume = 359.30 Å³ per cell

The structure in CIF format:
```
data_Tm2InRh
_chemical_formula_sum 'Tm8 In4 Rh4'
_space_group_name_H-M_alt 'F m -3 m'
_space_group_IT_number 225
_space_group_name_Hall '-F 4 2 3'
_cell_length_a 7.109
_cell_length_b 7.109
_cell_length_c 7.109
_cell_angle_alpha 90.00
_cell_angle_beta 90.00
_cell_angle_gamma 90.00
loop_
_atom_site_label
_atom_site_type_symbol
_atom_site_fract_x
_atom_site_fract_y
_atom_site_fract_z
Tm1 Tm 0.250 0.250 0.250
In1 In 0.000 0.000 0.000
Rh1 Rh 0.000 0.000 0.500
```

=====

[12]
A relaxed Tm2InRh6 crystal. Source: Alexandria, functional PBE.

Summary:
volume = 329.74 Å³ per cell

The structure in CIF format:
```
data_Tm2InRh6
_chemical_formula_sum 'Tm4 In2 Rh12'
_space_group_name_H-M_alt 'C 1 2/m 1'
_space_group_IT_number 12
_cell_length_a 13.727
_cell_length_b 8.222
_cell_length_c 2.994
_cell_angle_alpha 90.00
_cell_angle_beta 102.57
_cell_angle_gamma 90.00
loop_
_space_group_symop_operation_xyz
'x,y,z'
'-x,-y,-z'
'-x,y,-z'
'x,-y,z'
'x+1/2,y+1/2,z'
'-x+1/2,-y+1/2,-z'
'-x+1/2,y+1/2,-z'
'x+1/2,-y+1/2,z'
loop_
_atom_site_label
_atom_site_type_symbol
_atom_site_fract_x
_atom_site_fract_y
_atom_site_fract_z
Tm1 Tm 0.160 0.000 0.164
In1 In 0.000 0.500 0.500
Rh1 Rh 0.000 0.226 0.000
Rh2 Rh 0.169 0.286 0.670
```

=====

no.,energy relative to the elements (eV/atom),E (eV/atom)
1,-0.565,-5.754
2,-0.870,-6.608
3,-0.439,-6.446
4,-0.614,-5.156
5,-0.660,-5.635
6,-0.412,-5.250
7,-0.617,-5.471
8,-0.617,-5.506
9,-0.381,-4.026
10,-0.721,-5.479
11,-0.599,-5.357
12,-0.242,-6.441